# 1
First-principles (GGA-PBEsol) data for Mn2BeW after structural relaxation, as listed in Alexandria.

a b c (Å): 2.926 2.926 5.248
angles (deg): 90.00 90.00 90.00
Positions (direct):
Mn 0.000 0.000 0.220
Mn 0.000 0.000 0.780
Be 0.500 0.500 0.000
W 0.500 0.500 0.500

## Properties
Formation energy   0.006 eV per atom

# 2
First-principles (GGA-PBEsol) data for MnBeW2 after structural relaxation, as listed in Alexandria.

a b c (Å): 4.667 4.667 4.667
angles (deg): 133.71 133.71 67.55
Positions (direct):
Mn 0.000 0.000 0.000
Be 0.500 0.500 0.000
W 0.250 0.750 0.500
W 0.750 0.250 0.500

## Properties
Formation energy   0.294 eV per atom

# 3
First-principles (GGA-PBEsol) data for MnBe3W after structural relaxation, as listed in Alexandria.

a b c (Å): 4.234 4.234 4.234
angles (deg): 90.00 90.00 90.00
Positions (direct):
Mn 0.000 0.000 0.000
Be 0.000 0.500 0.500
Be 0.500 0.000 0.500
Be 0.500 0.500 0.000
W 0.500 0.500 0.500

## Properties
Formation energy   1.583 eV per atom

# 4
First-principles (GGA-PBEsol) data for MnBe2W2 after structural relaxation, as listed in Alexandria.

a b c (Å): 5.875 5.875 3.244
angles (deg): 90.00 90.00 90.00
Positions (direct):
Mn 0.000 0.000 0.000
Mn 0.500 0.500 0.000
Be 0.122 0.378 0.000
Be 0.378 0.878 0.000
Be 0.622 0.122 0.000
Be 0.878 0.622 0.000
W 0.176 0.676 0.500
W 0.324 0.176 0.500
W 0.676 0.824 0.500
W 0.824 0.324 0.500

## Properties
Formation energy   -0.078 eV per atom

What did the third record say?
First-principles (GGA-PBEsol) data for MnBe3W after structural relaxation, as listed in Alexandria.

a b c (Å): 4.234 4.234 4.234
angles (deg): 90.00 90.00 90.00
Positions (direct):
Mn 0.000 0.000 0.000
Be 0.000 0.500 0.500
Be 0.500 0.000 0.500
Be 0.500 0.500 0.000
W 0.500 0.500 0.500

## Properties
Formation energy   1.583 eV per atom